Material: Ac12PmSn7
Method: DFT, PBE
State: optimized geometry

Cell: 16.7970 16.7970 9.5843 Å, 90.00 90.00 120.00°
Space group R-3m (No. 166, hexagonal axes)
Symmetry-distinct sites (fractional):
Ac  0.0000  0.2690  0.0000 [18 per cell]
Ac  0.1062  0.2123  0.3795 [18 per cell]
Pm  0.0000  0.0000  0.0000 [3 per cell]
Sn  0.0000  0.0000  0.5000 [3 per cell]
Sn  0.1044  0.2088  0.7600 [18 per cell]

**Energy of formation from the pure elements**: -376.1 meV per atom
**Magnetic moment**: 0.00 μB per cell